Entry 1:
DFT (PBE-GGA) results for a relaxed Tl2Cd2Ga crystal.

Results
volume: 138.8 Å³/f.u.
raw total energy: -1.747 eV per atom
formation energy: 0.17 eV/atom
excess energy over the best structure of this formula in the dataset: 117 meV/atom
density of states at the Fermi level: 1.853 states/eV/f.u.
total magnetic moment: 0.00 Bohr magnetons per cell

a = 8.215 Å, b = 8.215 Å, c = 4.113 Å
α = 90.00°, β = 90.00°, γ = 90.00°
Element x y z (fractional)
Ga 0.000 0.000 0.000
Ga 0.500 0.500 0.000
Cd 0.863 0.363 0.500
Cd 0.637 0.863 0.500
Tl 0.665 0.165 0.000
Tl 0.335 0.835 0.000
Cd 0.363 0.137 0.500
Tl 0.835 0.665 0.000
Tl 0.165 0.335 0.000
Cd 0.137 0.637 0.500

***

Entry 2:
DFT (PBE-GGA) results for a relaxed KAl2H6 crystal.

Results
volume: 112.8 Å³/f.u.
raw total energy: -3.217 eV per atom
excess energy over the best structure of this formula in the dataset: 0 meV/atom
density of states at the Fermi level: 1.235 states/eV/f.u.
total magnetic moment: 0.00 Bohr magnetons per cell

a = 5.098 Å, b = 6.853 Å, c = 6.853 Å
α = 87.81°, β = 76.06°, γ = 76.06°
Element x y z (fractional)
H 0.069 0.322 0.478
K 0.250 0.192 0.808
H 0.277 0.781 0.902
H 0.431 0.522 0.678
Al 0.116 0.719 0.702
H 0.124 0.430 0.156
Al 0.616 0.702 0.719
H 0.723 0.219 0.098
Al 0.384 0.298 0.281
K 0.750 0.808 0.192
H 0.931 0.678 0.522
H 0.376 0.844 0.570
Al 0.884 0.281 0.298
H 0.624 0.156 0.430
H 0.569 0.478 0.322
H 0.777 0.902 0.781
H 0.223 0.098 0.219
H 0.876 0.570 0.844

***

Entry 3:
DFT (PBE-GGA) results for a relaxed Y2NiOs crystal.

Results
volume: 79.3 Å³/f.u.
raw total energy: -7.715 eV per atom
formation energy: -0.23 eV/atom
density of states at the Fermi level: 2.932 states/eV/f.u.
total magnetic moment: 0.00 Bohr magnetons per cell

a = 4.807 Å, b = 4.807 Å, c = 3.430 Å
α = 90.00°, β = 90.00°, γ = 90.00°
Element x y z (fractional)
Os 0.000 0.500 0.500
Ni 0.500 0.000 0.500
Y 0.000 0.000 0.000
Y 0.500 0.500 0.000

***

Q: Which value of density of states at the Fermi level does entry 1 give?
A: 1.853 states/eV/f.u.

***

Q: What is the formula in the third record?
A: Y2NiOs

***

Repeat the second record exactly.
DFT (PBE-GGA) results for a relaxed KAl2H6 crystal.

Results
volume: 112.8 Å³/f.u.
raw total energy: -3.217 eV per atom
excess energy over the best structure of this formula in the dataset: 0 meV/atom
density of states at the Fermi level: 1.235 states/eV/f.u.
total magnetic moment: 0.00 Bohr magnetons per cell

a = 5.098 Å, b = 6.853 Å, c = 6.853 Å
α = 87.81°, β = 76.06°, γ = 76.06°
Element x y z (fractional)
H 0.069 0.322 0.478
K 0.250 0.192 0.808
H 0.277 0.781 0.902
H 0.431 0.522 0.678
Al 0.116 0.719 0.702
H 0.124 0.430 0.156
Al 0.616 0.702 0.719
H 0.723 0.219 0.098
Al 0.384 0.298 0.281
K 0.750 0.808 0.192
H 0.931 0.678 0.522
H 0.376 0.844 0.570
Al 0.884 0.281 0.298
H 0.624 0.156 0.430
H 0.569 0.478 0.322
H 0.777 0.902 0.781
H 0.223 0.098 0.219
H 0.876 0.570 0.844